Compound: AcPm2Sm5Dy
Source: Alexandria via LeMat-Bulk
Functional: PBE
Structure: relaxed

abc: 8.9666 8.9666 10.1153
angles: 116.31 116.31 90.00
With the nearest neighbours (Å) after each atom.
Atoms (fractional coordinates):
Ac: 0.2500 0.2500 0.5000  10 Sm 3.71-3.94
Ac: 0.7500 0.7500 0.5000  10 Sm 3.71-3.94
Pm: 0.1164 0.3836 0.0000  1 Pm 2.95, 2 Sm 3.08
Pm: 0.6164 0.1164 0.0000  1 Pm 2.95, 2 Sm 3.08
Pm: 0.3836 0.8836 0.0000  1 Pm 2.95, 2 Sm 3.08
Pm: 0.8836 0.6164 0.0000  1 Pm 2.95, 2 Sm 3.08
Sm: 0.9277 0.4277 0.2654  1 Pm 3.08, 1 Dy 3.19
Sm: 0.6624 0.1624 0.7346  1 Pm 3.08, 1 Dy 3.19
Sm: 0.0723 0.5723 0.7346  1 Pm 3.08, 1 Dy 3.19
Sm: 0.1624 0.0723 0.7346  1 Pm 3.08, 1 Dy 3.19
Sm: 0.5723 0.6624 0.7346  1 Pm 3.08, 1 Dy 3.19
Sm: 0.8376 0.9277 0.2654  1 Pm 3.08, 1 Dy 3.19
Sm: 0.4277 0.3376 0.2654  1 Pm 3.08, 1 Dy 3.19
Sm: 0.3376 0.8376 0.2654  1 Pm 3.08, 1 Dy 3.19
Sm: 0.5000 0.5000 0.0000  4 Pm 3.59, 8 Sm 3.84, 2 Ac 3.94
Sm: 0.0000 0.0000 0.0000  4 Pm 3.59, 8 Sm 3.84, 2 Ac 3.94
Dy: 0.2500 0.7500 0.5000  4 Sm 3.19
Dy: 0.7500 0.2500 0.5000  4 Sm 3.19

Summary:
Its space-group type is I4/mcm (140). The calculation puts the energy of formation from the pure elements at 0.2578 eV per atom.

***

Compound: ZrUSb2
Source: Alexandria via LeMat-Bulk
Functional: PBE
Structure: relaxed

abc: 4.2006 4.2006 7.5108
angles: 73.76 73.76 60.00
With the nearest neighbours (Å) after each atom.
Atoms (fractional coordinates):
Sb: 0.2553 0.2553 0.2342  3 Zr 2.94, 3 U 3.07
Sb: 0.7447 0.7447 0.7658  3 Zr 2.94, 3 U 3.07
U: 0.5000 0.5000 0.5000  6 Sb 3.07
Zr: 0.0000 0.0000 0.0000  6 Sb 2.94

Summary:
For the energy relative to the lowest polymorph listed for this composition, the calculation gives 0.000 eV per formula unit. For the uncorrected formation energy, the calculation gives -0.4129 eV/atom. Its space-group type is R-3m (166).

***

Compound: HfPdN3
Source: Alexandria via LeMat-Bulk
Functional: PBE
Structure: relaxed

abc: 3.8566 3.8566 3.8566
angles: 90.00 90.00 90.00
With the nearest neighbours (Å) after each atom.
Atoms (fractional coordinates):
Hf: 0.5000 0.5000 0.5000  12 N 2.73
Pd: 0.0000 0.0000 0.0000  6 N 1.93
N: 0.0000 0.5000 0.0000  2 Pd 1.93
N: 0.0000 0.0000 0.5000  2 Pd 1.93
N: 0.5000 0.0000 0.0000  2 Pd 1.93

Summary:
For the uncorrected formation energy, the calculation gives 1.0370 eV/atom. Its space-group type is Pm-3m (221).

***

Compound: SrReBi3
Source: Alexandria via LeMat-Bulk
Functional: PBE
Structure: relaxed

abc: 5.4651 5.4651 5.4651
angles: 90.00 90.00 90.00
With the nearest neighbours (Å) after each atom.
Atoms (fractional coordinates):
Re: 0.0000 0.0000 0.0000  6 Bi 2.73
Bi: 0.0000 0.5000 0.0000  2 Re 2.73
Bi: 0.0000 0.0000 0.5000  2 Re 2.73
Bi: 0.5000 0.0000 0.0000  2 Re 2.73
Sr: 0.5000 0.5000 0.5000  12 Bi 3.86

Summary:
For the energy relative to the lowest polymorph listed for this composition, the calculation gives 0.000 eV per formula unit. Its space-group type is Pm-3m (221). The calculation puts the energy of formation from the pure elements at 0.4005 eV per atom.

***

Compound: PmNdSiPt
Source: Alexandria via LeMat-Bulk
Functional: PBE
Structure: relaxed

abc: 5.1313 5.1313 5.1313
angles: 60.00 60.00 60.00
With the nearest neighbours (Å) after each atom.
Atoms (fractional coordinates):
Si: 0.5000 0.5000 0.5000  4 Pm 3.14, 4 Nd 3.14
Nd: 0.2500 0.2500 0.2500  4 Si 3.14, 4 Pt 3.14
Pt: 0.0000 0.0000 0.0000  4 Nd 3.14, 4 Pm 3.14
Pm: 0.7500 0.7500 0.7500  4 Pt 3.14, 4 Si 3.14

Summary:
For the energy relative to the lowest polymorph listed for this composition, the calculation gives 0.817 eV per formula unit. For the uncorrected formation energy, the calculation gives -0.7377 eV/atom. Its space-group type is F-43m (216).

***

Compound: DyYEr
Source: Alexandria via LeMat-Bulk
Functional: PBE
Structure: relaxed

abc: 3.4981 5.5762 5.5762
angles: 120.00 90.00 90.00
With the nearest neighbours (Å) after each atom.
Atoms (fractional coordinates):
Y: 0.6666 0.6667 0.3333  2 Y 3.50, 6 Er 3.66-3.67, 6 Dy 3.66-3.67
Dy: 0.1654 0.0000 0.0000  3 Er 3.22, 2 Dy 3.50
Er: 0.1680 0.3333 0.6667  3 Dy 3.22, 2 Er 3.50

Summary:
For the energy relative to the lowest polymorph listed for this composition, the calculation gives 0.136 eV per formula unit. Its space-group type is P-6m2 (187). The calculation puts the energy of formation from the pure elements at 0.0684 eV per atom.

***

| no. | total energy (eV for the cell shown) |
| --- | --- |
| 1 | -79.0 |
| 2 | -29.7 |
| 3 | -34.9 |
| 4 | -23.8 |
| 5 | -23.9 |
| 6 | -15.4 |